A geometry-optimized Mn3In5S12 structure. Source: Alexandria via LeMat-Bulk, functional PBE.

The structure belongs to space group Ia-3d (No. 230); the cell edges are 15.310, 15.310 and 15.310 Å and the angles 90.00°, 90.00° and 90.00°. The inequivalent atoms are Mn at (0.000, 0.250, 0.125), In at (0.000, 0.000, 0.000), In at (0.000, 0.250, 0.375) and S at (0.020, 0.073, 0.653).

For the total magnetic moment, the calculation gives 95.68 Bohr magnetons per cell. Its uncorrected formation energy is -0.2315 eV per atom.